A relaxed structure of Cs3Na5Cd6. Source: Alexandria via LeMat-Bulk, functional PBE.

The formation energy from the elements comes out at -1.34 kcal/mol of atoms. The density of states at the Fermi level is 6.2 states/eV/f.u. As for the space group: Immm. The value obtained for the calculated total energy is -1.104 eV/atom. The value obtained for the total magnetization is 0.0 Bohr magnetons per cell.

Cell: 10.893 10.893 10.893 Å, 153.17 104.38 81.91°
Atoms (fractional coordinates):
Na  0.384  0.692  0.693
Na  0.616  0.308  0.307
Na  0.999  0.692  0.307
Na  0.001  0.308  0.693
Na  0.500  0.000  0.500
Cs  0.000  0.000  0.000
Cs  0.313  0.313  0.000
Cs  0.687  0.687  0.000
Cd  0.382  0.099  0.283
Cd  0.722  0.500  0.222
Cd  0.183  0.901  0.283
Cd  0.618  0.901  0.717
Cd  0.817  0.099  0.717
Cd  0.278  0.500  0.778